Entry 1:
SmDyPb after structural relaxation, computed with PBE.

Total energy   -27.778 eV/cell
Energy of formation   -83 kJ/mol of formula units
Excess energy over the best structure of this formula in the dataset   0.153 eV per atom
Fermi-level density of states   1.309 states/eV per atom
V   29.379 A^3/atom

a = 4.150 Å, b = 4.150 Å, c = 10.237 Å
α = 90.00°, β = 90.00°, γ = 90.00°
Space group I4mm (No. 107)
Asymmetric unit:
1 Sm 0.000 0.000 0.000 x2
2 Dy 0.000 0.000 0.317 x2
3 Pb 0.000 0.000 0.662 x2



Entry 2:
Ce5AgS8 after structural relaxation, computed with PBE.

Total energy   -180.963 eV/cell
Fermi-level density of states   1.947 states/eV per atom
ΔE_f (raw)   -41.1 kcal/mol of atoms
V   22.037 A^3/atom

a = 8.471 Å, b = 8.471 Å, c = 8.598 Å
α = 90.00°, β = 90.00°, γ = 90.00°
Space group I-4 (No. 82)
Asymmetric unit:
1 Ce 0.000 0.000 0.000 x2
2 Ce 0.131 0.749 0.384 x8
3 Ag 0.000 0.500 0.750 x2
4 S 0.068 0.822 0.705 x8
5 S 0.080 0.682 0.066 x8



Entry 3:
LaPPt2 after structural relaxation, computed with PBE.

Total energy   -106.785 eV/cell
Energy of formation   -413 kJ/mol of formula units
Fermi-level density of states   0.598 states/eV per atom
V   19.948 A^3/atom

a = 4.115 Å, b = 18.249 Å, c = 4.250 Å
α = 90.00°, β = 90.00°, γ = 90.00°
Space group Cmcm (No. 63)
Asymmetric unit:
1 La 0.000 0.106 0.250 x4
2 P 0.000 0.325 0.250 x4
3 Pt 0.000 0.241 0.750 x4
4 Pt 0.000 0.453 0.250 x4



Entry 4:
CsTlTe5 after structural relaxation, computed with PBE.

Total energy   -82.660 eV/cell
Fermi-level density of states   0.527 states/eV per atom
ΔE_f (raw)   -5.7 kcal/mol of atoms
V   40.662 A^3/atom

a = 8.004 Å, b = 11.681 Å, c = 12.431 Å
α = 90.00°, β = 101.60°, γ = 90.00°
Space group C2/c (No. 15)
Asymmetric unit:
1 Cs 0.000 0.194 0.250 x4
2 Tl 0.250 0.250 0.000 x4
3 Te 0.000 0.114 0.750 x4
4 Te 0.018 0.492 0.132 x8
5 Te 0.163 0.063 0.554 x8



Entry 5:
Rb2YUTe4 after structural relaxation, computed with PBE.

Total energy   -41.093 eV/cell
Fermi-level density of states   1.117 states/eV per atom
ΔE_f (raw)   -25.5 kcal/mol of atoms
V   38.364 A^3/atom

a = 7.871 Å, b = 4.543 Å, c = 8.975 Å
α = 90.00°, β = 107.02°, γ = 90.00°
Space group P2/m (No. 10)
Asymmetric unit:
1 Rb 0.000 0.000 0.000 x1
2 Rb 0.500 0.500 0.000 x1
3 Y 0.000 0.500 0.500 x1
4 U 0.500 0.000 0.500 x1
5 Te 0.231 0.000 0.701 x2
6 Te 0.264 0.500 0.298 x2



Entry 6:
Mg2FeOs after structural relaxation, computed with PBE.

Total energy   -21.807 eV/cell
Energy of formation   104 kJ/mol of formula units
Excess energy over the best structure of this formula in the dataset   0.157 eV per atom
Fermi-level density of states   0.700 states/eV per atom
V   15.332 A^3/atom

a = 2.662 Å, b = 4.246 Å, c = 5.427 Å
α = 90.00°, β = 90.00°, γ = 90.00°
Space group Pmmm (No. 47)
Asymmetric unit:
1 Mg 0.000 0.000 0.248 x2
2 Fe 0.500 0.500 0.500 x1
3 Os 0.500 0.500 0.000 x1



Entry 7:
AcSm2Se3 after structural relaxation, computed with PBE.

Total energy   -69.692 eV/cell
Fermi-level density of states   0.543 states/eV per atom
ΔE_f (raw)   -41.7 kcal/mol of atoms
V   27.646 A^3/atom

a = 4.260 Å, b = 6.073 Å, c = 12.825 Å
α = 90.00°, β = 90.00°, γ = 90.00°
Space group Immm (No. 71)
Asymmetric unit:
1 Ac 0.000 0.000 0.000 x2
2 Sm 0.000 0.000 0.338 x4
3 Se 0.000 0.500 0.000 x2
4 Se 0.000 0.500 0.322 x4



Entry 8:
La2PmTh after structural relaxation, computed with PBE.

Total energy   -65.766 eV/cell
Energy of formation   10 kJ/mol of formula units
Excess energy over the best structure of this formula in the dataset   0.000 eV per atom
Fermi-level density of states   1.821 states/eV per atom
V   34.836 A^3/atom

a = 3.6644 Å, b = 3.6644 Å, c = 35.9472 Å
α = 90.00°, β = 90.00°, γ = 120.00°
Space group R3m (No. 160, hexagonal axes)
Asymmetric unit:
1 La 0.0000 0.0000 0.0000 x3
2 La 0.0000 0.0000 0.1718 x3
3 Pm 0.0000 0.0000 0.4187 x3
4 Th 0.0000 0.0000 0.5862 x3



Entry 9:
RbAsHBr2 after structural relaxation, computed with PBE.

Total energy   -9.841 eV/cell
Excess energy over the best structure of this formula in the dataset   0.753 eV per atom
Fermi-level density of states   0.908 states/eV per atom
V   39.710 A^3/atom

a = 6.358 Å, b = 6.358 Å, c = 4.911 Å
α = 90.00°, β = 90.00°, γ = 90.00°
Space group P4/mmm (No. 123)
Asymmetric unit:
1 Rb 0.000 0.000 0.000 x1
2 As 0.500 0.500 0.500 x1
3 H 0.000 0.000 0.500 x1
4 Br 0.000 0.500 0.000 x2



Entry 10:
ReIrAu2 after structural relaxation, computed with PBE.

Total energy   -50.852 eV/cell
Energy of formation   235 kJ/mol of formula units
Excess energy over the best structure of this formula in the dataset   0.488 eV per atom
Fermi-level density of states   1.113 states/eV per atom
V   16.237 A^3/atom

a = 5.392 Å, b = 8.605 Å, c = 2.799 Å
α = 90.00°, β = 90.00°, γ = 90.00°
Space group Cmmm (No. 65)
Asymmetric unit:
1 Re 0.000 0.000 0.000 x2
2 Ir 0.000 0.500 0.000 x2
3 Au 0.250 0.250 0.500 x4



Entry 11:
K4Nd3MnSe8 after structural relaxation, computed with PBE.

Total energy   -236.586 eV/cell
Fermi-level density of states   0.222 states/eV per atom
ΔE_f (raw)   -33.3 kcal/mol of atoms
V   30.109 A^3/atom

a = 8.5010 Å, b = 8.5010 Å, c = 23.0890 Å
α = 90.00°, β = 90.00°, γ = 120.00°
Space group R-3m (No. 166, hexagonal axes)
Asymmetric unit:
1 K 0.0000 0.0000 0.0000 x3
2 K 0.0000 0.5000 0.0000 x9
3 Nd 0.0000 0.5000 0.5000 x9
4 Mn 0.0000 0.0000 0.5000 x3
5 Se 0.0000 0.0000 0.2382 x6
6 Se 0.0243 0.5121 0.2335 x18



Entry 12:
Ca2Ge4Ir3Pt after structural relaxation, computed with PBE.

Total energy   -61.667 eV/cell
Energy of formation   -634 kJ/mol of formula units
Fermi-level density of states   0.418 states/eV per atom
V   18.566 A^3/atom

a = 4.211 Å, b = 4.211 Å, c = 10.470 Å
α = 90.00°, β = 90.00°, γ = 90.00°
Space group P-4m2 (No. 115)
Asymmetric unit:
1 Ca 0.000 0.500 0.247 x2
2 Ge 0.000 0.000 0.000 x1
3 Ge 0.000 0.500 0.636 x2
4 Ge 0.500 0.500 0.000 x1
5 Ir 0.000 0.500 0.872 x2
6 Ir 0.500 0.500 0.500 x1
7 Pt 0.000 0.000 0.500 x1